Entry 1:
18
Lattice="7.575 0.000 0.000 -3.787 7.810 -1.603 0.000 -3.861 9.240" Properties=species:S:1:pos:R:3 comment="BiAsS (PBE, relaxed)" magmom_total_mub_per_fu=0.00 e_form_raw_ev_per_atom=0.03 final_energy_ev_per_cell=-75.37 pbc="T T T"
Bi 0.364 4.739 1.122
S 6.132 -0.965 2.310
As 1.894 1.974 3.819
As 1.362 4.627 4.089
As 5.150 -2.609 8.169
S 2.256 1.865 6.363
As 2.425 -0.679 3.549
S 6.043 0.153 5.895
Bi 0.000 0.000 0.000
As -1.362 6.558 -0.531
As -1.894 3.905 -0.801
Bi 4.151 1.140 1.896
S 1.442 -2.896 6.930
S -2.256 3.795 1.743
S 1.531 2.084 1.275
Bi -0.364 2.809 5.742
Bi 0.000 -1.931 4.620
Bi 3.423 -0.790 6.516

=====

Entry 2:
5
Lattice="-2.108 -4.136 2.665 3.470 -3.305 -2.384 3.562 0.805 4.068" Properties=species:S:1:pos:R:3 comment="KScAs2Br (PBE, relaxed)" magmom_total_mub_per_fu=0.01 e_form_raw_ev_per_atom=0.76 final_energy_ev_per_cell=-14.59 pbc="T T T"
K 0.000 0.000 0.000
Br 1.781 0.403 2.034
As 1.735 -1.653 -1.192
As -1.054 -2.068 1.332
Sc 2.462 -3.318 2.174

=====

Repeat the first record exactly.
18
Lattice="7.575 0.000 0.000 -3.787 7.810 -1.603 0.000 -3.861 9.240" Properties=species:S:1:pos:R:3 comment="BiAsS (PBE, relaxed)" magmom_total_mub_per_fu=0.00 e_form_raw_ev_per_atom=0.03 final_energy_ev_per_cell=-75.37 pbc="T T T"
Bi 0.364 4.739 1.122
S 6.132 -0.965 2.310
As 1.894 1.974 3.819
As 1.362 4.627 4.089
As 5.150 -2.609 8.169
S 2.256 1.865 6.363
As 2.425 -0.679 3.549
S 6.043 0.153 5.895
Bi 0.000 0.000 0.000
As -1.362 6.558 -0.531
As -1.894 3.905 -0.801
Bi 4.151 1.140 1.896
S 1.442 -2.896 6.930
S -2.256 3.795 1.743
S 1.531 2.084 1.275
Bi -0.364 2.809 5.742
Bi 0.000 -1.931 4.620
Bi 3.423 -0.790 6.516